[1]
This record from Alexandria describes crystalline SrY2Hg4 at its relaxed geometry. The functional is PBE. Values from VASP.

Cell and atoms, written as Quantum ESPRESSO input:
```
&SYSTEM
  ibrav = 0, nat = 7, ntyp = 3
/
ATOMIC_SPECIES
Y 88.91 Y.upf
Hg 200.59 Hg.upf
Sr 87.62 Sr.upf
CELL_PARAMETERS angstrom
-3.028 0.931 -4.081
-3.692 -3.372 -1.300
-8.470 3.819 3.886
ATOMIC_POSITIONS crystal
Y 0.217 0.217 0.349
Y 0.783 0.783 0.651
Hg 0.588 0.588 0.237
Hg 0.889 0.889 0.332
Hg 0.111 0.111 0.668
Hg 0.412 0.412 0.763
Sr 0.000 0.000 0.000
```

Computed properties:
Space-group type = R-3m
ΔE_f = -0.329 eV per atom
Volume = 222.36 Å³/cell
Magnetic moment = 0.0 μB per formula unit

---

[2]
This record from Alexandria describes crystalline Sr3YHg12 at its relaxed geometry. The functional is PBE. Values from VASP.

Cell and atoms, written as Quantum ESPRESSO input:
```
&SYSTEM
  ibrav = 0, nat = 16, ntyp = 3
/
ATOMIC_SPECIES
Hg 200.59 Hg.upf
Sr 87.62 Sr.upf
Y 88.91 Y.upf
CELL_PARAMETERS angstrom
-4.294 2.147 -0.167
-0.933 -2.189 -4.173
-7.731 -14.723 9.453
ATOMIC_POSITIONS crystal
Hg 0.500 0.500 0.000
Hg 0.000 0.500 0.885
Hg 0.500 0.500 0.242
Hg 0.500 0.000 0.115
Hg 0.500 0.500 0.500
Hg 0.500 0.000 0.885
Hg 0.500 0.500 0.758
Hg 0.000 0.500 0.628
Hg 0.000 0.500 0.115
Hg 0.500 0.000 0.372
Hg 0.000 0.500 0.372
Hg 0.500 0.000 0.628
Sr 0.000 0.000 0.756
Sr 0.000 0.000 0.500
Sr 0.000 0.000 0.244
Y 0.000 0.000 0.000
```

Computed properties:
Space-group type = P4/mmm
ΔE_f = -0.365 eV per atom
Volume = 441.37 Å³/cell
Magnetic moment = 0.0 μB per formula unit